A relaxed structure of TiAlHg2. Source: Alexandria via LeMat-Bulk, functional PBE.

Geometry as CIF:
```
data_TiAlHg2
_chemical_formula_sum 'Ti1 Al1 Hg2'
_cell_length_a 4.211
_cell_length_b 4.211
_cell_length_c 4.254
_cell_angle_alpha 90.00
_cell_angle_beta 90.00
_cell_angle_gamma 90.00
_space_group_name_H-M_alt 'P 4/m m m'
_space_group_IT_number 123
_space_group_name_Hall '-P 4 2'
loop_
_atom_site_label
_atom_site_type_symbol
_atom_site_fract_x
_atom_site_fract_y
_atom_site_fract_z
Ti1 Ti 0.000 0.000 0.000
Al1 Al 0.500 0.500 0.000
Hg1 Hg 0.000 0.500 0.500
```


# Ti6AlHg2, relaxed, DFT PBE
data_Ti6AlHg2
_chemical_formula_sum 'Ti12 Al2 Hg4'
_cell_length_a 4.388
_cell_length_b 6.375
_cell_length_c 13.461
_cell_angle_alpha 90.00
_cell_angle_beta 90.00
_cell_angle_gamma 90.00
_space_group_name_H-M_alt 'I m m m'
_space_group_IT_number 71
_space_group_name_Hall '-I 2 2'
loop_
_atom_site_label
_atom_site_type_symbol
_atom_site_fract_x
_atom_site_fract_y
_atom_site_fract_z
Ti1 Ti 0.000 0.235 0.000
Ti2 Ti 0.000 0.265 0.337
Al1 Al 0.000 0.500 0.500
Hg1 Hg 0.000 0.500 0.163
# Energy above the lowest structure with this stoichiometry   534 meV/atom


A relaxed structure of TmTiAlHg. Source: Alexandria via LeMat-Bulk, functional PBE.

Geometry as CIF:
```
data_TmTiAlHg
_chemical_formula_sum 'Tm4 Ti4 Al4 Hg4'
_cell_length_a 6.939
_cell_length_b 6.939
_cell_length_c 6.939
_cell_angle_alpha 90.00
_cell_angle_beta 90.00
_cell_angle_gamma 90.00
_space_group_name_H-M_alt 'F -4 3 m'
_space_group_IT_number 216
_space_group_name_Hall 'F -4 2 3'
loop_
_atom_site_label
_atom_site_type_symbol
_atom_site_fract_x
_atom_site_fract_y
_atom_site_fract_z
Tm1 Tm 0.000 0.000 0.000
Ti1 Ti 0.000 0.000 0.500
Al1 Al 0.250 0.250 0.750
Hg1 Hg 0.250 0.250 0.250
```


| no. | DFT total energy (eV for the cell shown) | ΔE_f (eV/atom) |
| --- | --- | --- |
| 1 | -12.34 | -0.0244 |
| 2 | -96.05 | 0.4101 |
| 3 | -68.33 | -0.1676 |